[1]
The following is a DFT calculation (PBE) of RbMn2ZnBr8 after structural relaxation.

Properties
The raw formation energy comes out at -10.2 eV per formula unit.

```
data_RbMn2ZnBr8
_chemical_formula_sum 'Rb1 Mn2 Zn1 Br8'
_symmetry_space_group_name_H-M 'P -3'
_symmetry_Int_Tables_number 147
_cell_length_a 6.8628
_cell_length_b 6.8628
_cell_length_c 9.5597
_cell_angle_alpha 90.00
_cell_angle_beta 90.00
_cell_angle_gamma 120.00
loop_
_symmetry_equiv_pos_as_xyz
'x,y,z'
'-x,-y,-z'
'-y,x-y,z'
'y,-x+y,-z'
'-x+y,-x,z'
'x-y,x,-z'
loop_
_atom_site_label
_atom_site_fract_x
_atom_site_fract_y
_atom_site_fract_z
_atom_site_occupancy
Rb1 0.0000 0.0000 0.0000 1
Mn1 0.3333 0.6667 0.7291 1
Zn1 0.0000 0.0000 0.5000 1
Br1 0.0040 0.6903 0.3355 1
Br2 0.3333 0.6667 0.9792 1
```



[2]
The following is a DFT calculation (PBE) of Rb2ZrMnBr6 after structural relaxation.

Properties
The raw formation energy comes out at -11.6 eV per formula unit.

```
data_Rb2ZrMnBr6
_chemical_formula_sum 'Rb8 Zr4 Mn4 Br24'
_symmetry_space_group_name_H-M 'F m -3 m'
_symmetry_Int_Tables_number 225
_symmetry_space_group_name_Hall '-F 4 2 3'
_cell_length_a 10.8567
_cell_length_b 10.8567
_cell_length_c 10.8567
_cell_angle_alpha 90.00
_cell_angle_beta 90.00
_cell_angle_gamma 90.00
loop_
_atom_site_label
_atom_site_fract_x
_atom_site_fract_y
_atom_site_fract_z
_atom_site_occupancy
Rb1 0.2500 0.2500 0.2500 1
Zr1 0.0000 0.0000 0.0000 1
Mn1 0.0000 0.0000 0.5000 1
Br1 0.0000 0.0000 0.2519 1
```



[3]
The following is a DFT calculation (PBE) of Mn3ReBr after structural relaxation.

Properties
The raw formation energy comes out at 9.1 eV per formula unit. The value obtained for the energy above the most stable polymorph in this dataset is 634 meV per atom.

```
data_Mn3ReBr
_chemical_formula_sum 'Mn3 Re1 Br1'
_symmetry_space_group_name_H-M 'P m -3 m'
_symmetry_Int_Tables_number 221
_symmetry_space_group_name_Hall '-P 4 2 3'
_cell_length_a 4.2219
_cell_length_b 4.2219
_cell_length_c 4.2219
_cell_angle_alpha 90.00
_cell_angle_beta 90.00
_cell_angle_gamma 90.00
loop_
_atom_site_label
_atom_site_fract_x
_atom_site_fract_y
_atom_site_fract_z
_atom_site_occupancy
Mn1 0.0000 0.0000 0.5000 1
Re1 0.5000 0.5000 0.5000 1
Br1 0.0000 0.0000 0.0000 1
```



[4]
The following is a DFT calculation (PBE) of MnRe2Br after structural relaxation.

Properties
The raw formation energy comes out at 3.7 eV per formula unit. The value obtained for the energy above the most stable polymorph in this dataset is 524 meV per atom.

```
data_MnRe2Br
_chemical_formula_sum 'Mn2 Re4 Br2'
_symmetry_space_group_name_H-M 'C 1 m 1'
_symmetry_Int_Tables_number 8
_cell_length_a 9.1670
_cell_length_b 2.9413
_cell_length_c 4.6932
_cell_angle_alpha 90.00
_cell_angle_beta 93.57
_cell_angle_gamma 90.00
loop_
_symmetry_equiv_pos_as_xyz
'x,y,z'
'x,-y,z'
'x+1/2,y+1/2,z'
'x+1/2,-y+1/2,z'
loop_
_atom_site_label
_atom_site_fract_x
_atom_site_fract_y
_atom_site_fract_z
_atom_site_occupancy
Mn1 0.0000 0.0000 0.0000 1
Re1 0.0379 0.5000 0.5633 1
Re2 0.2681 0.0000 0.7701 1
Br1 0.2654 0.5000 0.2241 1
```



[5]
The following is a DFT calculation (PBE) of Mn2ReBr after structural relaxation.

Properties
The raw formation energy comes out at 4.0 eV per formula unit. The value obtained for the energy above the most stable polymorph in this dataset is 670 meV per atom.

```
data_Mn2ReBr
_chemical_formula_sum 'Mn4 Re2 Br2'
_symmetry_space_group_name_H-M 'I -4 m 2'
_symmetry_Int_Tables_number 119
_symmetry_space_group_name_Hall 'I -4 -2'
_cell_length_a 3.7167
_cell_length_b 3.7167
_cell_length_c 9.0970
_cell_angle_alpha 90.00
_cell_angle_beta 90.00
_cell_angle_gamma 90.00
loop_
_atom_site_label
_atom_site_fract_x
_atom_site_fract_y
_atom_site_fract_z
_atom_site_occupancy
Mn1 0.0000 0.0000 0.0000 1
Mn2 0.0000 0.5000 0.2500 1
Re1 0.0000 0.5000 0.7500 1
Br1 0.0000 0.0000 0.5000 1
```



[6]
The following is a DFT calculation (PBE) of Mn2ReBr after structural relaxation.

Properties
The raw formation energy comes out at 1.7 eV per formula unit. The value obtained for the energy above the most stable polymorph in this dataset is 99 meV per atom.

```
data_Mn2ReBr
_chemical_formula_sum 'Mn4 Re2 Br2'
_symmetry_space_group_name_H-M 'C m m m'
_symmetry_Int_Tables_number 65
_symmetry_space_group_name_Hall '-C 2 2'
_cell_length_a 4.2558
_cell_length_b 4.3144
_cell_length_c 7.3944
_cell_angle_alpha 90.00
_cell_angle_beta 90.00
_cell_angle_gamma 90.00
loop_
_atom_site_label
_atom_site_fract_x
_atom_site_fract_y
_atom_site_fract_z
_atom_site_occupancy
Mn1 0.0000 0.0000 0.2132 1
Re1 0.0000 0.5000 0.0000 1
Br1 0.0000 0.5000 0.5000 1
```



[7]
The following is a DFT calculation (PBE) of Mn2ReBr after structural relaxation.

Properties
The raw formation energy comes out at 4.1 eV per formula unit. The value obtained for the energy above the most stable polymorph in this dataset is 693 meV per atom.

```
data_Mn2ReBr
_chemical_formula_sum 'Mn8 Re4 Br4'
_symmetry_space_group_name_H-M 'F -4 3 m'
_symmetry_Int_Tables_number 216
_symmetry_space_group_name_Hall 'F -4 2 3'
_cell_length_a 6.1360
_cell_length_b 6.1360
_cell_length_c 6.1360
_cell_angle_alpha 90.00
_cell_angle_beta 90.00
_cell_angle_gamma 90.00
loop_
_atom_site_label
_atom_site_fract_x
_atom_site_fract_y
_atom_site_fract_z
_atom_site_occupancy
Mn1 0.0000 0.0000 0.0000 1
Mn2 0.2500 0.2500 0.2500 1
Re1 0.0000 0.0000 0.5000 1
Br1 0.2500 0.2500 0.7500 1
```



[8]
The following is a DFT calculation (PBE) of MnRe2Br after structural relaxation.

Properties
The raw formation energy comes out at 3.8 eV per formula unit. The value obtained for the energy above the most stable polymorph in this dataset is 566 meV per atom.

```
data_MnRe2Br
_chemical_formula_sum 'Mn2 Re4 Br2'
_symmetry_space_group_name_H-M 'I m m m'
_symmetry_Int_Tables_number 71
_symmetry_space_group_name_Hall '-I 2 2'
_cell_length_a 2.9322
_cell_length_b 4.4889
_cell_length_c 9.5379
_cell_angle_alpha 90.00
_cell_angle_beta 90.00
_cell_angle_gamma 90.00
loop_
_atom_site_label
_atom_site_fract_x
_atom_site_fract_y
_atom_site_fract_z
_atom_site_occupancy
Mn1 0.0000 0.0000 0.0000 1
Re1 0.0000 0.5000 0.2346 1
Br1 0.0000 0.0000 0.5000 1
```



[9]
The following is a DFT calculation (PBE) of Mn2ReBr after structural relaxation.

Properties
The raw formation energy comes out at 2.3 eV per formula unit. The value obtained for the energy above the most stable polymorph in this dataset is 251 meV per atom.

```
data_Mn2ReBr
_chemical_formula_sum 'Mn4 Re2 Br2'
_symmetry_space_group_name_H-M 'C 1 m 1'
_symmetry_Int_Tables_number 8
_cell_length_a 6.8235
_cell_length_b 3.1669
_cell_length_c 7.1271
_cell_angle_alpha 90.00
_cell_angle_beta 109.58
_cell_angle_gamma 90.00
loop_
_symmetry_equiv_pos_as_xyz
'x,y,z'
'x,-y,z'
'x+1/2,y+1/2,z'
'x+1/2,-y+1/2,z'
loop_
_atom_site_label
_atom_site_fract_x
_atom_site_fract_y
_atom_site_fract_z
_atom_site_occupancy
Mn1 0.0000 0.0000 0.0000 1
Mn2 0.2173 0.0000 0.7774 1
Re1 0.4706 0.0000 0.6338 1
Br1 0.3171 0.5000 0.2878 1
```



[10]
The following is a DFT calculation (PBE) of MnRe2Br after structural relaxation.

Properties
The raw formation energy comes out at 2.7 eV per formula unit. The value obtained for the energy above the most stable polymorph in this dataset is 267 meV per atom.

```
data_MnRe2Br
_chemical_formula_sum 'Mn1 Re2 Br1'
_symmetry_space_group_name_H-M 'P m m m'
_symmetry_Int_Tables_number 47
_cell_length_a 3.0482
_cell_length_b 3.2450
_cell_length_c 6.9659
_cell_angle_alpha 90.00
_cell_angle_beta 90.00
_cell_angle_gamma 90.00
loop_
_symmetry_equiv_pos_as_xyz
'x,y,z'
'-x,-y,-z'
'-x,-y,z'
'x,y,-z'
'x,-y,-z'
'-x,y,z'
'-x,y,-z'
'x,-y,z'
loop_
_atom_site_label
_atom_site_fract_x
_atom_site_fract_y
_atom_site_fract_z
_atom_site_occupancy
Mn1 0.0000 0.0000 0.0000 1
Re1 0.5000 0.5000 0.1771 1
Br1 0.5000 0.0000 0.5000 1
```



[11]
The following is a DFT calculation (PBE) of MnRe2Br after structural relaxation.

Properties
The raw formation energy comes out at 3.1 eV per formula unit. The value obtained for the energy above the most stable polymorph in this dataset is 385 meV per atom.

```
data_MnRe2Br
_chemical_formula_sum 'Mn3 Re6 Br3'
_symmetry_space_group_name_H-M 'R 3 m'
_symmetry_Int_Tables_number 160
_symmetry_space_group_name_Hall 'R 3 -2"'
_cell_length_a 2.8183
_cell_length_b 2.8183
_cell_length_c 26.9551
_cell_angle_alpha 90.00
_cell_angle_beta 90.00
_cell_angle_gamma 120.00
loop_
_atom_site_label
_atom_site_fract_x
_atom_site_fract_y
_atom_site_fract_z
_atom_site_occupancy
Mn1 0.0000 0.0000 0.0000 1
Re1 0.0000 0.0000 0.4085 1
Re2 0.0000 0.0000 0.5937 1
Br1 0.0000 0.0000 0.8275 1
```



[12]
The following is a DFT calculation (PBE) of MnRe2Br after structural relaxation.

Properties
The raw formation energy comes out at 3.2 eV per formula unit. The value obtained for the energy above the most stable polymorph in this dataset is 412 meV per atom.

```
data_MnRe2Br
_chemical_formula_sum 'Mn2 Re4 Br2'
_symmetry_space_group_name_H-M 'C m m m'
_symmetry_Int_Tables_number 65
_symmetry_space_group_name_Hall '-C 2 2'
_cell_length_a 3.0445
_cell_length_b 4.3060
_cell_length_c 12.3485
_cell_angle_alpha 90.00
_cell_angle_beta 90.00
_cell_angle_gamma 90.00
loop_
_atom_site_label
_atom_site_fract_x
_atom_site_fract_y
_atom_site_fract_z
_atom_site_occupancy
Mn1 0.0000 0.0000 0.0000 1
Re1 0.0000 0.5000 0.1647 1
Br1 0.0000 0.0000 0.5000 1
```



We obtain density of states at the Fermi level values of 11.11; 11.46; 11.44; 2.72; 2.93; 3.67; 4.64; 3.94; 0.83; 3.91; 3.92; 4.17 states/eV/f.u. for the records listed above, in that order.